Density functional theory data (meta-GGA SCAN) for a PBEsol-optimized structure of ZrSiPt.

Computed properties:
- SG = No. 62
- energy relative to the elements, uncorrected (kJ/mol of formula units) = -389
- M_tot (μB/cell) = 0.0
- electronic total energy (eV/atom) = -38.312
- calculated volume (Å³/cell) = 192

Cell and atoms, written as POSCAR:
```
ZrSiPt
1.0
6.572 0.000 0.000
0.000 3.885 0.000
0.000 0.000 7.529
Zr Si Pt
4 4 4
direct
0.025 0.250 0.178
0.475 0.750 0.678
0.525 0.250 0.322
0.975 0.750 0.822
0.236 0.750 0.378
0.264 0.250 0.878
0.736 0.750 0.122
0.764 0.250 0.622
0.145 0.250 0.564
0.355 0.750 0.064
0.645 0.250 0.936
0.855 0.750 0.436
```